[1]
The following is a PBE calculation of an optimized crystal structure of RbFePb2Se, from the Alexandria database.

Cell lengths 5.796, 6.140, 5.796 Å; angles 90.00, 90.00, 90.00 degrees
Positions (direct):
Pb: 0.000 0.000 0.500
Se: 0.000 0.000 0.000
Fe: 0.500 0.500 0.500
Pb: 0.500 0.000 0.000
Rb: 0.000 0.500 0.000

The uncorrected formation energy is 709.7 meV per atom. As for the spin magnetization: 2.992 μB per formula unit. For the density, the calculation gives 5.1 g cm⁻³.

---

[2]
The following is a PBE calculation of an optimized crystal structure of Sr2PaRe2N6, from the Alexandria database.

Cell lengths 6.094, 6.082, 6.965 Å; angles 118.89, 90.00, 120.06 degrees
Positions (direct):
N: 0.753 0.507 0.612
N: 0.247 0.493 0.388
N: 0.693 0.886 0.222
N: 0.307 0.114 0.778
Re: 0.036 0.072 0.199
N: 0.807 0.114 0.778
Re: 0.964 0.928 0.801
Pa: 0.500 0.000 0.500
Sr: 0.712 0.423 0.175
Sr: 0.288 0.577 0.825
N: 0.193 0.886 0.222

The uncorrected formation energy is -826.1 meV per atom. As for the spin magnetization: 0.000 μB per formula unit. For the density, the calculation gives 7.7 g cm⁻³.

---

[3]
The following is a PBE calculation of an optimized crystal structure of NaYTi, from the Alexandria database.

Cell lengths 8.442, 8.442, 4.690 Å; angles 90.00, 90.00, 29.71 degrees
Positions (direct):
Ti: 0.199 0.199 0.000
Y: 0.327 0.327 0.500
Ti: 0.801 0.801 0.000
Y: 0.673 0.673 0.500
Na: 0.000 0.000 0.500
Na: 0.500 0.500 0.000

As for the spin magnetization: 0.000 μB per formula unit. For the density, the calculation gives 3.2 g cm⁻³. The value obtained for the total energy is -4.9154 eV per atom.

---

[4]
The following is a PBE calculation of an optimized crystal structure of KMg2Bi, from the Alexandria database.

Cell lengths 9.417, 9.417, 7.487 Å; angles 51.03, 51.03, 90.00 degrees
Positions (direct):
Bi: 0.000 0.000 0.000
K: 0.500 0.500 0.000
Mg: 0.045 0.625 0.250
Mg: 0.705 0.125 0.250
Mg: 0.875 0.955 0.750
Bi: 0.750 0.250 0.500
K: 0.250 0.750 0.500
Mg: 0.375 0.295 0.750

As for the spin magnetization: 0.000 μB per formula unit. For the density, the calculation gives 3.2 g cm⁻³. The value obtained for the total energy is -1.9934 eV per atom.